A plane-wave DFT calculation with PBE-GGA was carried out for a geometry-optimized SbPt2C2 structure.

Unit cell a=4.0723 b=4.0723 c=5.0533 alpha=66.24 beta=66.24 gamma=90.00
With the nearest neighbours (Å) after each atom.
Atoms (fractional coordinates):
Pt  0.2500  0.7500  0.5000  4 C 2.47
C  0.5816  0.5816  0.8369  1 C 1.35
Sb  0.0000  0.0000  0.0000  8 Pt 2.91, 8 C 2.96
C  0.4184  0.4184  0.1631  1 C 1.35
Pt  0.7500  0.2500  0.5000  4 C 2.47

Energy above the lowest structure with this stoichiometry: 0.000 eV per atom
M_tot: 0.00 μB per cell
Fermi-level density of states: 0.539 states/eV/atom
Formation energy from raw total energies: 0.96 eV per atom



A plane-wave DFT calculation with PBE-GGA was carried out for a geometry-optimized SbPtC2 structure.

Unit cell a=4.8998 b=4.8998 c=6.1066 alpha=66.35 beta=66.35 gamma=90.00
With the nearest neighbours (Å) after each atom.
Atoms (fractional coordinates):
C  0.1028  0.6250  0.2500  2 Pt 2.08, 2 Sb 2.20
Sb  0.5000  0.5000  0.0000  4 C 2.20
C  0.6472  0.1250  0.2500  2 Pt 2.08, 2 Sb 2.20
C  0.8750  0.8972  0.7500  2 Pt 2.08, 2 Sb 2.20
Sb  0.2500  0.7500  0.5000  4 C 2.20
Pt  0.7500  0.2500  0.5000  4 C 2.08
C  0.3750  0.3528  0.7500  2 Pt 2.08, 2 Sb 2.20
Pt  0.0000  0.0000  0.0000  4 C 2.08

M_tot: 0.00 μB per cell
Fermi-level density of states: 0.473 states/eV/atom
Formation energy from raw total energies: 1.16 eV per atom



A plane-wave DFT calculation with PBE-GGA was carried out for a geometry-optimized SbPt2C2 structure.

Unit cell a=6.9430 b=6.9430 c=3.0875 alpha=90.00 beta=90.00 gamma=90.00
With the nearest neighbours (Å) after each atom.
Atoms (fractional coordinates):
Pt  0.3271  0.1729  0.5000  4 C 2.39
Sb  0.0000  0.0000  0.0000  8 Pt 3.00, 4 C 3.03, 2 Sb 3.09
C  0.5691  0.0691  0.0000  1 C 1.36
Sb  0.5000  0.5000  0.0000  8 Pt 3.00, 4 C 3.03, 2 Sb 3.09
Pt  0.8271  0.3271  0.5000  4 C 2.39
C  0.9309  0.5691  0.0000  1 C 1.36
C  0.4309  0.9309  0.0000  1 C 1.36
Pt  0.6729  0.8271  0.5000  4 C 2.39
Pt  0.1729  0.6729  0.5000  4 C 2.39
C  0.0691  0.4309  0.0000  1 C 1.36

Energy above the lowest structure with this stoichiometry: 0.357 eV per atom
M_tot: 0.00 μB per cell
Fermi-level density of states: 0.756 states/eV/atom
Formation energy from raw total energies: 1.32 eV per atom



A plane-wave DFT calculation with PBE-GGA was carried out for a geometry-optimized ScSbPt2C structure.

Unit cell a=4.9110 b=5.3908 c=4.9110 alpha=90.00 beta=90.00 gamma=90.00
With the nearest neighbours (Å) after each atom.
Atoms (fractional coordinates):
Pt  0.5000  0.0000  0.0000  2 Sb 2.46
Sc  0.0000  0.5000  0.0000  2 Sb 2.70
C  0.5000  0.5000  0.5000  4 Sc 3.47, 8 Pt 3.65
Sb  0.0000  0.0000  0.0000  4 Pt 2.46, 2 Sc 2.70
Pt  0.0000  0.0000  0.5000  2 Sb 2.46

M_tot: 1.09 μB per cell
Fermi-level density of states: 0.821 states/eV/atom
Formation energy from raw total energies: 1.72 eV per atom



A plane-wave DFT calculation with PBE-GGA was carried out for a geometry-optimized Sb2TePtC structure.

Unit cell a=4.6435 b=4.6435 c=4.7239 alpha=90.00 beta=90.00 gamma=90.00
With the nearest neighbours (Å) after each atom.
Atoms (fractional coordinates):
Sb  0.5000  0.0000  0.0000  2 C 2.32
Pt  0.5000  0.5000  0.5000  4 Te 3.28, 8 Sb 3.31
Sb  0.0000  0.5000  0.0000  2 C 2.32
C  0.0000  0.0000  0.0000  4 Sb 2.32, 2 Te 2.36
Te  0.0000  0.0000  0.5000  2 C 2.36

Energy above the lowest structure with this stoichiometry: 0.000 eV per atom
M_tot: 0.00 μB per cell
Fermi-level density of states: 0.461 states/eV/atom
Formation energy from raw total energies: 0.97 eV per atom



A plane-wave DFT calculation with PBE-GGA was carried out for a geometry-optimized SbTe2PtC structure.

Unit cell a=5.4236 b=5.4236 c=5.1182 alpha=90.00 beta=90.00 gamma=90.00
With the nearest neighbours (Å) after each atom.
Atoms (fractional coordinates):
C  0.5000  0.5000  0.5000  8 Te 3.73, 4 Sb 3.84
Te  0.0000  0.5000  0.0000  2 Pt 2.71
Pt  0.0000  0.0000  0.0000  2 Sb 2.56, 4 Te 2.71
Te  0.5000  0.0000  0.0000  2 Pt 2.71
Sb  0.0000  0.0000  0.5000  2 Pt 2.56

Energy above the lowest structure with this stoichiometry: 0.615 eV per atom
M_tot: 1.02 μB per cell
Fermi-level density of states: 1.163 states/eV/atom
Formation energy from raw total energies: 1.69 eV per atom



What is the formation energy from raw total energies in the third record?
1.32 eV per atom



Repeat the fifth record exactly.
A plane-wave DFT calculation with PBE-GGA was carried out for a geometry-optimized Sb2TePtC structure.

Unit cell a=4.6435 b=4.6435 c=4.7239 alpha=90.00 beta=90.00 gamma=90.00
With the nearest neighbours (Å) after each atom.
Atoms (fractional coordinates):
Sb  0.5000  0.0000  0.0000  2 C 2.32
Pt  0.5000  0.5000  0.5000  4 Te 3.28, 8 Sb 3.31
Sb  0.0000  0.5000  0.0000  2 C 2.32
C  0.0000  0.0000  0.0000  4 Sb 2.32, 2 Te 2.36
Te  0.0000  0.0000  0.5000  2 C 2.36

Energy above the lowest structure with this stoichiometry: 0.000 eV per atom
M_tot: 0.00 μB per cell
Fermi-level density of states: 0.461 states/eV/atom
Formation energy from raw total energies: 0.97 eV per atom



Which value of Fermi-level density of states does entry 2 give?
0.473 states/eV/atom